(1)
# CdFeSi2 GGA-PBE optimized geometry
data_CdFeSi2
_chemical_formula_sum 'Cd1 Fe1 Si2'
_cell_length_a 2.785
_cell_length_b 2.785
_cell_length_c 7.830
_cell_angle_alpha 90.00
_cell_angle_beta 90.00
_cell_angle_gamma 90.00
_space_group_name_H-M_alt 'P 1'
_space_group_IT_number 1
loop_
_space_group_symop_operation_xyz
'x,y,z'
loop_
_atom_site_label
_atom_site_fract_x
_atom_site_fract_y
_atom_site_fract_z
_atom_site_occupancy
Si1 0.000 0.000 0.572 1
Si2 0.000 0.000 0.928 1
Cd1 0.500 0.500 0.250 1
Fe1 0.500 0.500 0.750 1
# - volume (Å³ per cell) = 60.7
# - formation energy (no corrections) (eV per formula unit) = 0.3

(2)
# NaBe2V GGA-PBE optimized geometry
data_NaBe2V
_chemical_formula_sum 'Na2 Be4 V2'
_cell_length_a 6.746
_cell_length_b 6.746
_cell_length_c 5.447
_cell_angle_alpha 51.74
_cell_angle_beta 51.74
_cell_angle_gamma 90.00
_space_group_name_H-M_alt 'P 1'
_space_group_IT_number 1
loop_
_space_group_symop_operation_xyz
'x,y,z'
loop_
_atom_site_label
_atom_site_fract_x
_atom_site_fract_y
_atom_site_fract_z
_atom_site_occupancy
Be1 0.645 0.125 0.250 1
Be2 0.875 0.895 0.750 1
Be3 0.375 0.355 0.750 1
Be4 0.105 0.625 0.250 1
V1 0.750 0.250 0.500 1
V2 0.000 0.000 0.000 1
Na1 0.500 0.500 0.000 1
Na2 0.250 0.750 0.500 1
# - volume (Å³ per cell) = 119.7
# - energy relative to the elements (eV/f.u.) = 4.365

(3)
# BeSbAu GGA-PBE optimized geometry
data_BeSbAu
_chemical_formula_sum 'Be2 Sb2 Au2'
_cell_length_a 9.576
_cell_length_b 3.863
_cell_length_c 3.012
_cell_angle_alpha 90.00
_cell_angle_beta 90.03
_cell_angle_gamma 90.00
_space_group_name_H-M_alt 'P 1'
_space_group_IT_number 1
loop_
_space_group_symop_operation_xyz
'x,y,z'
loop_
_atom_site_label
_atom_site_fract_x
_atom_site_fract_y
_atom_site_fract_z
_atom_site_occupancy
Be1 0.282 0.606 0.748 1
Be2 0.429 0.106 0.748 1
Sb1 0.717 0.105 0.248 1
Sb2 0.994 0.605 0.247 1
Au1 0.492 0.606 0.248 1
Au2 0.219 0.106 0.248 1
# - volume (Å³ per cell) = 111.4
# - formation energy (no corrections) (eV per formula unit) = 0.0

(4)
# CeBW2 GGA-PBE optimized geometry
data_CeBW2
_chemical_formula_sum 'Ce1 B1 W2'
_cell_length_a 3.074
_cell_length_b 3.074
_cell_length_c 8.295
_cell_angle_alpha 79.32
_cell_angle_beta 79.32
_cell_angle_gamma 60.00
_space_group_name_H-M_alt 'P 1'
_space_group_IT_number 1
loop_
_space_group_symop_operation_xyz
'x,y,z'
loop_
_atom_site_label
_atom_site_fract_x
_atom_site_fract_y
_atom_site_fract_z
_atom_site_occupancy
W1 0.885 0.885 0.346 1
W2 0.115 0.115 0.654 1
B1 0.500 0.500 0.500 1
Ce1 0.000 0.000 0.000 1
# - volume (Å³ per cell) = 66.3
# - energy relative to the elements (eV/f.u.) = 1.447